[1]
Here is a geometry-optimized CeZrSi2Ir5 structure from Alexandria. Energies are from GGA-PBE.

The structure in CIF format:
```
data_CeZrSi2Ir5
_space_group_name_H-M_alt 'P 4/m m m'
_space_group_IT_number 123
_space_group_name_Hall '-P 4 2'
_cell_length_a 3.967
_cell_length_b 3.967
_cell_length_c 11.204
_cell_angle_alpha 90.00
_cell_angle_beta 90.00
_cell_angle_gamma 90.00
loop_
_atom_site_label
_atom_site_type_symbol
_atom_site_fract_x
_atom_site_fract_y
_atom_site_fract_z
Ce1 Ce 0.000 0.000 0.000
Zr1 Zr 0.000 0.000 0.500
Si1 Si 0.500 0.500 0.211
Ir1 Ir 0.000 0.500 0.325
Ir2 Ir 0.500 0.500 0.000
```

* calculated density: 11.8 g cm⁻³
* energy relative to the elements, uncorrected: -0.56 eV/atom

***

[2]
Here is a geometry-optimized Y4ErTe7 structure from Alexandria. Energies are from GGA-PBE.

The structure in CIF format:
```
data_Y4ErTe7
_space_group_name_H-M_alt 'C 1 m 1'
_space_group_IT_number 8
_cell_length_a 14.290
_cell_length_b 4.237
_cell_length_c 13.166
_cell_angle_alpha 90.00
_cell_angle_beta 104.17
_cell_angle_gamma 90.00
loop_
_space_group_symop_operation_xyz
'x,y,z'
'x,-y,z'
'x+1/2,y+1/2,z'
'x+1/2,-y+1/2,z'
loop_
_atom_site_label
_atom_site_type_symbol
_atom_site_fract_x
_atom_site_fract_y
_atom_site_fract_z
Y1 Y 0.000 0.000 0.000
Y2 Y 0.086 0.500 0.389
Y3 Y 0.184 0.000 0.763
Y4 Y 0.385 0.500 0.575
Er1 Er 0.270 0.500 0.152
Te1 Te 0.046 0.500 0.624
Te2 Te 0.129 0.500 0.928
Te3 Te 0.144 0.000 0.225
Te4 Te 0.224 0.000 0.528
Te5 Te 0.347 0.500 0.792
Te6 Te 0.384 0.000 0.077
Te7 Te 0.422 0.500 0.358
```

* calculated density: 6.1 g cm⁻³
* energy relative to the elements, uncorrected: -1.38 eV/atom

***

[3]
Here is a geometry-optimized NpCuAs structure from Alexandria. Energies are from GGA-PBE.

The structure in CIF format:
```
data_NpCuAs
_space_group_name_H-M_alt 'I 4 m m'
_space_group_IT_number 107
_space_group_name_Hall 'I 4 -2'
_cell_length_a 3.810
_cell_length_b 3.810
_cell_length_c 8.242
_cell_angle_alpha 90.00
_cell_angle_beta 90.00
_cell_angle_gamma 90.00
loop_
_atom_site_label
_atom_site_type_symbol
_atom_site_fract_x
_atom_site_fract_y
_atom_site_fract_z
Np1 Np 0.000 0.000 0.000
Cu1 Cu 0.000 0.000 0.666
As1 As 0.000 0.000 0.353
```

* calculated density: 10.4 g cm⁻³
* ΔH_f (0 K): 27 meV/atom

***

[4]
Here is a geometry-optimized CsTi3Hg structure from Alexandria. Energies are from GGA-PBE.

The structure in CIF format:
```
data_CsTi3Hg
_space_group_name_H-M_alt 'P m -3 m'
_space_group_IT_number 221
_space_group_name_Hall '-P 4 2 3'
_cell_length_a 4.965
_cell_length_b 4.965
_cell_length_c 4.965
_cell_angle_alpha 90.00
_cell_angle_beta 90.00
_cell_angle_gamma 90.00
loop_
_atom_site_label
_atom_site_type_symbol
_atom_site_fract_x
_atom_site_fract_y
_atom_site_fract_z
Cs1 Cs 0.000 0.000 0.000
Ti1 Ti 0.000 0.000 0.500
Hg1 Hg 0.500 0.500 0.500
```

* calculated density: 6.5 g cm⁻³
* ΔH_f (0 K): 1906 meV/atom
* distance to the lowest polymorph of the same formula: 0.590 eV/atom

***

[5]
Here is a geometry-optimized La6Ni2GeCl3 structure from Alexandria. Energies are from GGA-PBE.

The structure in CIF format:
```
data_La6Ni2GeCl3
_space_group_name_H-M_alt 'C 1 2/m 1'
_space_group_IT_number 12
_cell_length_a 18.438
_cell_length_b 4.271
_cell_length_c 8.756
_cell_angle_alpha 90.00
_cell_angle_beta 105.27
_cell_angle_gamma 90.00
loop_
_space_group_symop_operation_xyz
'x,y,z'
'-x,-y,-z'
'-x,y,-z'
'x,-y,z'
'x+1/2,y+1/2,z'
'-x+1/2,-y+1/2,-z'
'-x+1/2,y+1/2,-z'
'x+1/2,-y+1/2,z'
loop_
_atom_site_label
_atom_site_type_symbol
_atom_site_fract_x
_atom_site_fract_y
_atom_site_fract_z
La1 La 0.018 0.000 0.248
La2 La 0.168 0.500 0.096
La3 La 0.178 0.500 0.569
Ni1 Ni 0.173 0.000 0.333
Ge1 Ge 0.000 0.500 0.000
Cl1 Cl 0.000 0.500 0.500
Cl2 Cl 0.155 0.000 0.825
```

* calculated density: 5.6 g cm⁻³
* energy relative to the elements, uncorrected: -1.07 eV/atom

***

[6]
Here is a geometry-optimized BaMg2InSn2 structure from Alexandria. Energies are from GGA-PBE.

The structure in CIF format:
```
data_BaMg2InSn2
_space_group_name_H-M_alt 'P n n m'
_space_group_IT_number 58
_cell_length_a 8.177
_cell_length_b 9.762
_cell_length_c 4.994
_cell_angle_alpha 90.00
_cell_angle_beta 90.00
_cell_angle_gamma 90.00
loop_
_space_group_symop_operation_xyz
'x,y,z'
'-x,-y,-z'
'-x,-y,z'
'x,y,-z'
'x+1/2,-y+1/2,-z+1/2'
'-x+1/2,y+1/2,z+1/2'
'-x+1/2,y+1/2,-z+1/2'
'x+1/2,-y+1/2,z+1/2'
loop_
_atom_site_label
_atom_site_type_symbol
_atom_site_fract_x
_atom_site_fract_y
_atom_site_fract_z
Ba1 Ba 0.000 0.000 0.000
Mg1 Mg 0.096 0.299 0.500
In1 In 0.000 0.500 0.000
Sn1 Sn 0.234 0.799 0.500
```

* calculated density: 4.5 g cm⁻³
* ΔH_f (0 K): -192 meV/atom